Entry 1:
Crystalline Cd2InRh2 at its relaxed geometry. Source: the Alexandria database, functional PBE.

Cell lengths 6.7887, 6.7887, 4.1436 Å; angles 90.00, 90.00, 90.00 degrees
With the nearest neighbours (Å) after each atom.
Atoms (fractional coordinates):
Rh: 0.1378 0.3622 0.0000  2 In 2.63, 1 Rh 2.65, 6 Cd 2.84-2.90
Rh: 0.6378 0.1378 0.0000  2 In 2.63, 1 Rh 2.65, 6 Cd 2.84-2.90
Rh: 0.8622 0.6378 0.0000  2 In 2.63, 1 Rh 2.65, 6 Cd 2.84-2.90
Rh: 0.3622 0.8622 0.0000  2 In 2.63, 1 Rh 2.65, 6 Cd 2.84-2.90
Cd: 0.1597 0.6597 0.5000  6 Rh 2.84-2.90, 1 Cd 3.07
Cd: 0.6597 0.8403 0.5000  6 Rh 2.84-2.90, 1 Cd 3.07
Cd: 0.8403 0.3403 0.5000  6 Rh 2.84-2.90, 1 Cd 3.07
Cd: 0.3403 0.1597 0.5000  6 Rh 2.84-2.90, 1 Cd 3.07
In: 0.0000 0.0000 0.0000  4 Rh 2.63
In: 0.5000 0.5000 0.0000  4 Rh 2.63

Results
Offset from the most stable computed form ... 0.00 eV/f.u.
N(E_F) ... 0.42 states/eV/atom

***

Entry 2:
Crystalline CdInRh2 at its relaxed geometry. Source: the Alexandria database, functional PBE.

Cell lengths 2.9855, 4.1021, 5.6679 Å; angles 90.00, 90.00, 90.00 degrees
With the nearest neighbours (Å) after each atom.
Atoms (fractional coordinates):
Rh: 0.5000 0.5000 0.2656  2 In 2.74-2.93, 4 Cd 2.79, 6 Rh 2.99-3.00
Rh: 0.0000 0.0000 0.9828  2 Cd 2.76-2.91, 4 In 2.78, 6 Rh 2.99-3.00
In: 0.5000 0.5000 0.7827  6 Rh 2.74-2.93, 2 In 2.99
Cd: 0.0000 0.0000 0.4689  6 Rh 2.76-2.91, 2 Cd 2.99

Results
Offset from the most stable computed form ... 1.01 eV/f.u.
N(E_F) ... 0.84 states/eV/atom

***

Entry 3:
Crystalline CdInRh2 at its relaxed geometry. Source: the Alexandria database, functional PBE.

Cell lengths 8.7839, 8.7839, 8.7839 Å; angles 20.03, 20.03, 20.03 degrees
With the nearest neighbours (Å) after each atom.
Atoms (fractional coordinates):
Cd: 0.5000 0.5000 0.5000  6 Rh 2.83, 6 Cd 3.06
Rh: 0.2524 0.2524 0.2524  3 In 2.74, 3 Cd 2.83, 6 Rh 3.06
Rh: 0.7476 0.7476 0.7476  3 In 2.74, 3 Cd 2.83, 6 Rh 3.06
In: 0.0000 0.0000 0.0000  6 Rh 2.74, 6 In 3.06

Results
Offset from the most stable computed form ... 0.88 eV/f.u.
N(E_F) ... 0.41 states/eV/atom

***

Entry 4:
Crystalline CdInRh2 at its relaxed geometry. Source: the Alexandria database, functional PBE.

Cell lengths 4.6718, 4.6718, 5.2656 Å; angles 79.11, 79.11, 38.00 degrees
With the nearest neighbours (Å) after each atom.
Atoms (fractional coordinates):
Cd: 0.5000 0.5000 0.0000  6 Rh 2.78-2.81, 4 In 3.04, 2 Cd 3.04
Rh: 0.2532 0.2532 0.7452  3 In 2.76-2.80, 3 Cd 2.78-2.81, 6 Rh 3.01-3.07
Rh: 0.7468 0.7468 0.2548  3 In 2.76-2.80, 3 Cd 2.78-2.81, 6 Rh 3.01-3.07
In: 0.0000 0.0000 0.5000  6 Rh 2.76-2.80, 4 Cd 3.04, 2 In 3.04

Results
Offset from the most stable computed form ... 0.91 eV/f.u.
N(E_F) ... 0.89 states/eV/atom

***

Entry 5:
Crystalline CdInRh2 at its relaxed geometry. Source: the Alexandria database, functional PBE.

Cell lengths 9.3764, 9.3764, 9.3764 Å; angles 18.40, 18.40, 18.40 degrees
With the nearest neighbours (Å) after each atom.
Atoms (fractional coordinates):
Cd: 0.4929 0.4929 0.4929  3 Rh 2.83, 6 Cd 3.00
Rh: 0.7451 0.7451 0.7451  9 Rh 2.69-3.00, 3 Cd 2.83
Rh: 0.0037 0.0037 0.0037  9 Rh 2.69-3.00, 3 In 2.78
In: 0.2583 0.2583 0.2583  3 Rh 2.78, 6 In 3.00

Results
Offset from the most stable computed form ... 1.77 eV/f.u.
N(E_F) ... 1.11 states/eV/atom

***

Entry 6:
Crystalline CdIn3Rh4 at its relaxed geometry. Source: the Alexandria database, functional PBE.

Cell lengths 4.5699, 4.5699, 7.9138 Å; angles 73.22, 73.22, 60.00 degrees
With the nearest neighbours (Å) after each atom.
Atoms (fractional coordinates):
Rh: 0.8730 0.8730 0.3809  7 In 2.78-2.83, 1 Cd 2.84
Rh: 0.1270 0.1270 0.6191  7 In 2.78-2.83, 1 Cd 2.84
Rh: 0.3771 0.3771 0.8688  5 In 2.75-2.80, 3 Cd 2.81
Rh: 0.6229 0.6229 0.1312  5 In 2.75-2.80, 3 Cd 2.81
Cd: 0.0000 0.0000 0.0000  8 Rh 2.81-2.84
In: 0.5000 0.5000 0.5000  8 Rh 2.75-2.78
In: 0.7478 0.7478 0.7566  8 Rh 2.77-2.83
In: 0.2522 0.2522 0.2434  8 Rh 2.77-2.83

Results
VASP energy ... -41.65 eV for the cell shown
N(E_F) ... 0.09 states/eV/atom

***

The highest N(E_F) belongs to which entry?
number 5

***

Repeat the fourth record exactly.
Crystalline CdInRh2 at its relaxed geometry. Source: the Alexandria database, functional PBE.

Cell lengths 4.6718, 4.6718, 5.2656 Å; angles 79.11, 79.11, 38.00 degrees
With the nearest neighbours (Å) after each atom.
Atoms (fractional coordinates):
Cd: 0.5000 0.5000 0.0000  6 Rh 2.78-2.81, 4 In 3.04, 2 Cd 3.04
Rh: 0.2532 0.2532 0.7452  3 In 2.76-2.80, 3 Cd 2.78-2.81, 6 Rh 3.01-3.07
Rh: 0.7468 0.7468 0.2548  3 In 2.76-2.80, 3 Cd 2.78-2.81, 6 Rh 3.01-3.07
In: 0.0000 0.0000 0.5000  6 Rh 2.76-2.80, 4 Cd 3.04, 2 In 3.04

Results
Offset from the most stable computed form ... 0.91 eV/f.u.
N(E_F) ... 0.89 states/eV/atom

***

Which of these has the lowest N(E_F)?
CdIn3Rh4